Computed, not measured: crystalline Al2GeAu at its relaxed geometry at the PBE level of DFT.

Unit cell a=4.679 b=4.679 c=4.679 alpha=60.00 beta=60.00 gamma=60.00
Fractional positions:
Al (0.000, 0.000, 0.000)
Al (0.250, 0.250, 0.250)
Ge (0.500, 0.500, 0.500)
Au (0.750, 0.750, 0.750)

The density comes out at 7.42 g cm⁻³. The total energy comes out at -14.9 eV per cell.